Co3PbSe, relaxed, DFT PBE; density of states at the Fermi level = 11.601 states/eV/f.u.; DFT total energy = -4.08 eV per atom
1.0
-1.395 4.177 -1.972
-0.526 -2.190 -4.267
-4.589 -1.019 1.088
Pb Co Se
1 3 1
direct
0.000 0.000 0.000 Pb
0.000 0.500 0.000 Co
0.000 0.000 0.500 Co
0.500 0.000 0.000 Co
0.500 0.500 0.500 Se

***

CoPb2Se, relaxed, DFT PBE; density of states at the Fermi level = 2.996 states/eV/f.u.; DFT total energy = -4.25 eV per atom
1.0
3.861 -0.005 0.030
1.929 3.344 0.030
1.882 1.085 7.164
Co Pb Se
1 2 1
direct
0.250 0.250 0.250 Co
0.988 0.988 0.037 Pb
0.512 0.512 0.463 Pb
0.750 0.750 0.750 Se

***

CoTc2PbSe, relaxed, DFT PBE; density of states at the Fermi level = 6.988 states/eV/f.u.; DFT total energy = -5.80 eV per atom
1.0
4.601 0.000 0.000
0.000 4.864 0.000
0.000 0.000 4.601
Pb Co Tc Se
1 1 2 1
direct
0.000 0.500 0.000 Pb
0.000 0.000 0.000 Co
0.000 0.000 0.500 Tc
0.500 0.000 0.000 Tc
0.500 0.500 0.500 Se

***

CoSiPb2, relaxed, DFT PBE; density of states at the Fermi level = 2.488 states/eV/f.u.; DFT total energy = -4.71 eV per atom
1.0
7.082 0.042 -0.009
5.014 5.001 0.009
-5.964 -2.723 2.678
Co Pb Si
1 2 1
direct
0.672 0.172 0.500 Co
0.989 0.989 0.000 Pb
0.259 0.759 0.500 Pb
0.580 0.580 0.000 Si

***

CoSiPb2, relaxed, DFT PBE; density of states at the Fermi level = 2.469 states/eV/f.u.; DFT total energy = -4.22 eV per atom
1.0
5.165 0.000 0.000
0.000 5.165 0.000
2.583 2.583 7.870
Pb Si Co
4 2 2
direct
0.667 0.125 0.250 Pb
0.083 0.625 0.250 Pb
0.375 0.333 0.750 Pb
0.875 0.917 0.750 Pb
0.500 0.500 0.000 Si
0.250 0.750 0.500 Si
0.000 0.000 0.000 Co
0.750 0.250 0.500 Co

***

CoSiPb2, relaxed, DFT PBE; density of states at the Fermi level = 5.289 states/eV/f.u.; DFT total energy = -4.23 eV per atom
1.0
4.973 0.000 0.000
2.486 4.307 0.000
2.486 1.436 4.060
Co Pb Si
1 2 1
direct
0.500 0.500 0.500 Co
0.000 0.000 0.000 Pb
0.250 0.250 0.250 Pb
0.750 0.750 0.750 Si